Entry from Alexandria: crystalline NaCaI2O at its relaxed geometry (GGA-PBE).

Results
- raw formation energy (eV per atom) = -1.19
- DFT total energy (hartree per atom) = -0.127
- total magnetic moment (μB/atom) = 0.201
- energy above the lowest structure with this stoichiometry (eV per atom) = 0.000

The structure in CIF format:
```
data_NaCaI2O
_cell_length_a 6.2495
_cell_length_b 6.2495
_cell_length_c 4.4195
_cell_angle_alpha 90.00
_cell_angle_beta 90.00
_cell_angle_gamma 90.00
_symmetry_space_group_name_H-M 'P 1'
_symmetry_Int_Tables_number 1
_symmetry_space_group_name_Hall 'P 1'
loop_
_atom_site_label
_atom_site_type_symbol
_atom_site_fract_x
_atom_site_fract_y
_atom_site_fract_z
Na1 Na 0.0000 0.0000 0.0000
Ca1 Ca 0.5000 0.5000 0.5000
I1 I 0.0000 0.5000 0.5000
I2 I 0.5000 0.0000 0.5000
O1 O 0.5000 0.5000 0.0000
```